# 1
A plane-wave DFT calculation with GGA-PBEsol was carried out for a geometry-optimized KMg2Sb structure.

Properties
* uncorrected formation energy: -0.055 eV/atom
* magnetization: 0.0000 μB per atom
* space-group type: I4/mmm

Cell: 4.844 4.844 5.776 Å, 114.80 114.80 90.00°
Positions (direct):
K: 0.000 0.000 0.000
Mg: 0.750 0.250 0.500
Mg: 0.250 0.750 0.500
Sb: 0.500 0.500 0.000

***

# 2
A plane-wave DFT calculation with GGA-PBEsol was carried out for a geometry-optimized KEuGeS4 structure.

Properties
* uncorrected formation energy: -1.128 eV/atom
* magnetization: 0.9376 μB per atom
* space-group type: P2_1/m

Cell: 6.039 6.761 8.840 Å, 106.74 90.00 90.00°
Site moments in Bohr magnetons follow the coordinates.
Positions (direct):
Eu: 0.495 0.741 0.057  0.00
Eu: 0.995 0.259 0.943  0.00
K: 0.495 0.767 0.558  6.55
K: 0.995 0.233 0.442  6.55
S: 0.996 0.906 0.071  0.00
S: 0.496 0.094 0.929  0.00
S: 0.495 0.077 0.342  -0.03
S: 0.995 0.923 0.658  -0.03
S: 0.728 0.494 0.775  -0.01
S: 0.228 0.506 0.225  -0.01
S: 0.262 0.493 0.775  -0.02
S: 0.762 0.507 0.225  -0.02
Ge: 0.496 0.268 0.182  -0.02
Ge: 0.996 0.732 0.818  -0.02

***

# 3
A plane-wave DFT calculation with GGA-PBEsol was carried out for a geometry-optimized SbSeBr structure.

Properties
* uncorrected formation energy: -0.432 eV/atom
* magnetization: 0.0000 μB per atom
* space-group type: Pnma

Cell: 3.979 8.180 10.417 Å, 90.00 90.00 90.00°
Positions (direct):
Sb: 0.750 0.620 0.365
Sb: 0.750 0.120 0.135
Sb: 0.250 0.880 0.865
Sb: 0.250 0.380 0.635
Se: 0.250 0.182 0.956
Se: 0.750 0.318 0.456
Se: 0.750 0.818 0.044
Se: 0.250 0.682 0.544
Br: 0.250 0.470 0.192
Br: 0.250 0.970 0.308
Br: 0.750 0.530 0.808
Br: 0.750 0.030 0.692

***

# 4
A plane-wave DFT calculation with GGA-PBEsol was carried out for a geometry-optimized LiBi3I2O4 structure.

Properties
* uncorrected formation energy: -1.252 eV/atom
* magnetization: 0.0000 μB per atom
* space-group type: Amm2

Cell: 5.566 5.572 7.129 Å, 113.00 90.00 90.00°
Positions (direct):
I: 0.500 0.989 0.979
I: 0.000 0.497 0.994
Bi: 0.000 0.160 0.320
Bi: 0.000 0.831 0.662
Bi: 0.500 0.333 0.667
O: 0.248 0.494 0.493
O: 0.752 0.999 0.493
O: 0.248 0.999 0.493
O: 0.752 0.494 0.493
Li: 0.500 0.703 0.406

***

# 5
A plane-wave DFT calculation with GGA-PBEsol was carried out for a geometry-optimized SrBe3Pd structure.

Properties
* magnetization: 0.0000 μB per atom
* VASP energy: -0.288 Ry per atom
* space-group type: Pm-3m

Cell: 4.383 4.383 4.383 Å, 90.00 90.00 90.00°
Positions (direct):
Sr: 0.500 0.500 0.500
Pd: 0.000 0.000 0.000
Be: 0.000 0.500 0.000
Be: 0.000 0.000 0.500
Be: 0.500 0.000 0.000

***

# 6
A plane-wave DFT calculation with GGA-PBEsol was carried out for a geometry-optimized LaPbSe structure.

Properties
* E above lowest polymorph: 368 meV per atom
* uncorrected formation energy: -0.294 eV/atom
* magnetization: 0.0002 μB per atom
* space-group type: F-43m

Cell: 5.159 5.159 5.159 Å, 60.00 60.00 60.00°
Positions (direct):
La: 0.500 0.500 0.500
Pb: 0.750 0.750 0.750
Se: 0.000 0.000 0.000

***

# 7
A plane-wave DFT calculation with GGA-PBEsol was carried out for a geometry-optimized CuTe3Rh structure.

Properties
* E above lowest polymorph: 0 meV per atom
* uncorrected formation energy: 0.703 eV/atom
* magnetization: 0.0002 μB per atom
* space-group type: Pm-3m

Cell: 5.131 5.131 5.131 Å, 90.00 90.00 90.00°
Positions (direct):
Te: 0.000 0.500 0.000
Te: 0.000 0.000 0.500
Te: 0.500 0.000 0.000
Rh: 0.000 0.000 0.000
Cu: 0.500 0.500 0.500

***

# 8
A plane-wave DFT calculation with GGA-PBEsol was carried out for a geometry-optimized Sb3Pb5 structure.

Properties
* uncorrected formation energy: 0.041 eV/atom
* magnetization: 0.0000 μB per atom
* space-group type: Cmmm

Cell: 5.402 6.770 6.770 Å, 109.90 90.00 90.00°
Positions (direct):
Pb: 0.000 0.000 0.000
Pb: 0.000 0.000 0.500
Pb: 0.000 0.500 0.000
Pb: 0.500 0.275 0.275
Pb: 0.500 0.725 0.725
Sb: 0.000 0.500 0.500
Sb: 0.500 0.794 0.206
Sb: 0.500 0.206 0.794

***

# 9
A plane-wave DFT calculation with GGA-PBEsol was carried out for a geometry-optimized KHgRh structure.

Properties
* E above lowest polymorph: 0 meV per atom
* magnetization: 0.0000 μB per atom
* space-group type: F-43m

Cell: 4.685 4.685 4.685 Å, 60.00 60.00 60.00°
Positions (direct):
Hg: 0.000 0.000 0.000
K: 0.500 0.500 0.500
Rh: 0.250 0.250 0.250

***

# 10
A plane-wave DFT calculation with GGA-PBEsol was carried out for a geometry-optimized RbIrRu3 structure.

Properties
* magnetization: 0.5718 μB per atom
* VASP energy: -0.352 Ry per atom
* space-group type: Pm-3m

Cell: 4.498 4.498 4.498 Å, 90.00 90.00 90.00°
Site moments in Bohr magnetons follow the coordinates.
Positions (direct):
Ru: 0.000 0.500 0.000  0.81
Ru: 0.000 0.000 0.500  0.81
Ru: 0.500 0.000 0.000  0.81
Ir: 0.500 0.500 0.500  0.40
Rb: 0.000 0.000 0.000  0.01

***

# 11
A plane-wave DFT calculation with GGA-PBEsol was carried out for a geometry-optimized LiReNi2 structure.

Properties
* E above lowest polymorph: 125 meV per atom
* magnetization: 0.0000 μB per atom
* space-group type: Imm2

Cell: 2.546 4.184 5.209 Å, 113.68 104.15 90.00°
Positions (direct):
Li: 0.258 0.758 0.515
Ni: 0.027 0.027 0.054
Ni: 0.746 0.246 0.492
Re: 0.469 0.469 0.939

***

# 12
A plane-wave DFT calculation with GGA-PBEsol was carried out for a geometry-optimized Li2CrCu structure.

Properties
* magnetization: 1.0579 μB per atom
* VASP energy: -0.310 Ry per atom
* space-group type: F-43m

Cell: 4.287 4.288 4.287 Å, 60.01 90.00 119.99°
Site moments in Bohr magnetons follow the coordinates.
Positions (direct):
Cr: 0.500 0.000 0.500  3.63
Cu: 0.750 0.500 0.750  0.11
Li: 0.000 0.000 0.000  0.00
Li: 0.250 0.500 0.250  0.02